# 1
Computed, not measured: a relaxed structure of Ti2CuAgI at the PBE level of DFT.

Lattice parameters (Å, degrees): 5.086 5.086 4.760 90.00 90.00 90.00
Space group P4/mmm (No. 123)
One atom of each set of equivalent atoms:
Ti 0.000 0.500 0.000 [2 per cell]
Cu 0.000 0.000 0.500 [1 per cell]
Ag 0.000 0.000 0.000 [1 per cell]
I 0.500 0.500 0.500 [1 per cell]

Calculated values
- formation energy without anion corrections (eV/atom) = 0.88
- V (Å³ per cell) = 123.1
- calculated total energy (eV/atom) = -3.980



# 2
Computed, not measured: a relaxed structure of La2Pd6Pb at the PBE level of DFT.

Lattice parameters (Å, degrees): 5.8575 5.8575 6.3482 90.00 90.00 120.00
Space group P-3m1 (No. 164)
One atom of each set of equivalent atoms:
La 0.3333 0.6667 0.2068 [2 per cell]
Pd 0.1754 0.3509 0.6723 [6 per cell]
Pb 0.0000 0.0000 0.0000 [1 per cell]

Calculated values
- energy relative to the elements (eV/atom) = -0.6641
- V (Å³ per cell) = 188.6
- calculated total energy (eV/atom) = -5.633



# 3
Computed, not measured: a relaxed structure of CsGeAu at the PBE level of DFT.

Lattice parameters (Å, degrees): 4.3969 4.3969 6.0647 90.00 90.00 120.00
Space group P-6m2 (No. 187)
One atom of each set of equivalent atoms:
Cs 0.0000 0.0000 0.0000 [1 per cell]
Ge 0.3333 0.6667 0.5000 [1 per cell]
Au 0.6667 0.3333 0.5000 [1 per cell]

Calculated values
- energy relative to the lowest polymorph listed for this composition (eV/f.u.) = 0.191
- energy relative to the elements (eV/atom) = -0.1348
- V (Å³ per cell) = 101.5
- calculated total energy (eV/atom) = -3.051



# 4
Computed, not measured: a relaxed structure of Na2Ge7Au12 at the PBE level of DFT.

Lattice parameters (Å, degrees): 4.671 10.320 10.349 61.25 80.58 89.18
Space group P-1 (No. 2)
One atom of each set of equivalent atoms:
Na 0.235 0.335 0.332 [2 per cell]
Ge 0.000 0.000 0.000 [1 per cell]
Ge 0.233 0.870 0.726 [2 per cell]
Ge 0.236 0.385 0.891 [2 per cell]
Ge 0.332 0.710 0.398 [2 per cell]
Au 0.153 0.132 0.700 [2 per cell]
Au 0.191 0.449 0.615 [2 per cell]
Au 0.268 0.744 0.135 [2 per cell]
Au 0.268 0.936 0.452 [2 per cell]
Au 0.284 0.604 0.943 [2 per cell]
Au 0.305 0.126 0.129 [2 per cell]

Calculated values
- energy relative to the elements (eV/atom) = -0.0625
- V (Å³ per cell) = 430.3
- calculated total energy (eV/atom) = -3.600



# 5
Computed, not measured: a relaxed structure of Pm5HoTm2Th at the PBE level of DFT.

Lattice parameters (Å, degrees): 5.604 20.416 10.602 90.00 90.00 90.00
Space group Cmc2_1 (No. 36)
One atom of each set of equivalent atoms:
Pm 0.000 0.013 0.000 [4 per cell]
Pm 0.000 0.277 0.294 [4 per cell]
Pm 0.000 0.293 0.687 [4 per cell]
Pm 0.000 0.385 0.006 [4 per cell]
Pm 0.000 0.482 0.727 [4 per cell]
Ho 0.000 0.405 0.442 [4 per cell]
Tm 0.000 0.112 0.722 [4 per cell]
Tm 0.000 0.115 0.289 [4 per cell]
Th 0.000 0.200 0.993 [4 per cell]

Calculated values
- energy relative to the elements (eV/atom) = 0.1575
- V (Å³ per cell) = 1213.0
- calculated total energy (eV/atom) = -4.808



# 6
Computed, not measured: a relaxed structure of Li2Pr3Te2Se4 at the PBE level of DFT.

Lattice parameters (Å, degrees): 4.821 4.821 24.726 90.00 90.00 90.00
Space group I4/mmm (No. 139)
One atom of each set of equivalent atoms:
Li 0.000 0.000 0.098 [4 per cell]
Pr 0.000 0.000 0.338 [4 per cell]
Pr 0.000 0.000 0.500 [2 per cell]
Te 0.000 0.000 0.207 [4 per cell]
Se 0.000 0.500 0.078 [8 per cell]

Calculated values
- formation energy without anion corrections (eV/atom) = -1.38
- V (Å³ per cell) = 574.6
- calculated total energy (eV/atom) = -4.873



Question: Which of these has the highest V?
Answer: Pm5HoTm2Th



Question: calculated total energy of number 4 (Na2Ge7Au12)?
Answer: -3.600 eV/atom



Question: Which of these has the highest V?
Answer: Pm5HoTm2Th